Entry 1:
Mg2CdTe SCAN PBEsol geometry; formation energy (no corrections) = -0.188 eV per atom; space group = No. 123
1.0
-3.129 0.605 2.182
-2.686 -2.728 -3.096
1.055 -4.022 2.629
Cd Te Mg
1 1 2
Direct
0.500 0.000 0.500
0.500 0.500 0.000
0.000 0.000 0.000
0.000 0.500 0.500

Entry 2:
Al2CoSb SCAN PBEsol geometry; formation energy (no corrections) = 0.172 eV per atom; space group = No. 122
1.0
4.157 0.000 0.000
0.000 4.157 0.000
-2.079 -2.079 8.302
Al Co Sb
4 2 2
Direct
0.125 0.196 0.750
0.446 0.875 0.250
0.804 0.375 0.250
0.625 0.554 0.750
0.500 0.500 0.000
0.750 0.250 0.500
0.000 0.000 0.000
0.250 0.750 0.500

Entry 3:
SrTc2Mo SCAN PBEsol geometry; space group = No. 8; E above lowest polymorph = 7.0 meV per atom; DFT formation energy = 629 meV/atom
1.0
-2.906 0.589 -1.005
-0.295 -3.318 3.786
0.134 5.040 2.565
Tc Mo Sr
2 1 1
Direct
0.250 0.500 0.754
0.963 0.926 0.885
0.541 0.083 0.615
0.746 0.492 0.246

Entry 4:
CaMgSb3 SCAN PBEsol geometry; formation energy (no corrections) = 0.579 eV per atom; space group = No. 221
1.0
5.588 0.000 0.000
0.000 5.588 0.000
0.000 0.000 5.588
Ca Sb Mg
1 3 1
Direct
0.000 0.000 0.000
0.500 0.000 0.000
0.000 0.500 0.000
0.000 0.000 0.500
0.500 0.500 0.500

Entry 5:
MnReAu3 SCAN PBEsol geometry; space group = No. 221; DFT formation energy = 1491 meV/atom
1.0
-0.567 -2.049 -4.156
4.620 -0.572 -0.349
-0.356 -4.155 2.097
Au Mn Re
3 1 1
Direct
0.000 0.500 0.000
0.000 0.000 0.500
0.500 0.000 0.000
0.000 0.000 0.000
0.500 0.500 0.500

Entry 6:
ScBeCd2 SCAN PBEsol geometry; space group = No. 47; E above lowest polymorph = 52.2 meV per atom; DFT formation energy = 0 meV/atom
1.0
-0.614 -2.953 -2.674
-0.510 -2.693 3.091
-4.257 0.850 0.038
Sc Cd Be
1 2 1
Direct
0.000 0.500 0.500
0.500 0.500 0.000
0.000 0.000 0.000
0.500 0.000 0.500

Asked for E across the records above, the calculation gives -78.4 -138.8 -124.8 -123.5 -289.4 -79.4 eV for the cell shown in order.
Asked for calculated volume across the records above, the calculation gives 93.5 71.7 82.0 174.4 101.7 72.3 Å³/f.u. in order.
Asked for total moment across the records above, the calculation gives 0.00 3.59 0.00 0.00 8.47 0.00 Bohr magnetons per cell in order.